Entry 1:
# Tb2GaCo2

A crystal of Tb2GaCo2 relaxed with PBEsol (meta-GGA SCAN, Alexandria via LeMat-Bulk).

## Properties
Crystal system: orthorhombic
Calculated total energy, eV per atom: -29.25
Energy of formation, eV per atom: -0.35

Cell and atoms, written as CIF:
```
data_Tb2GaCo2
_symmetry_space_group_name_H-M 'I m m m'
_symmetry_Int_Tables_number 71
_symmetry_space_group_name_Hall '-I 2 2'
_cell_length_a 4.004
_cell_length_b 5.327
_cell_length_c 8.206
_cell_angle_alpha 90.00
_cell_angle_beta 90.00
_cell_angle_gamma 90.00
loop_
_atom_site_label
_atom_site_type_symbol
_atom_site_fract_x
_atom_site_fract_y
_atom_site_fract_z
Tb1 Tb 0.000 0.000 0.206
Ga1 Ga 0.000 0.500 0.000
Co1 Co 0.000 0.283 0.500
```

Entry 2:
# BeIF3

A crystal of BeIF3 relaxed with PBEsol (meta-GGA SCAN, Alexandria via LeMat-Bulk).

## Properties
Crystal system: cubic
Calculated total energy, eV per atom: -11.85

Cell and atoms, written as CIF:
```
data_BeIF3
_symmetry_space_group_name_H-M 'P m -3 m'
_symmetry_Int_Tables_number 221
_symmetry_space_group_name_Hall '-P 4 2 3'
_cell_length_a 3.915
_cell_length_b 3.915
_cell_length_c 3.915
_cell_angle_alpha 90.00
_cell_angle_beta 90.00
_cell_angle_gamma 90.00
loop_
_atom_site_label
_atom_site_type_symbol
_atom_site_fract_x
_atom_site_fract_y
_atom_site_fract_z
Be1 Be 0.000 0.000 0.000
I1 I 0.500 0.500 0.500
F1 F 0.000 0.000 0.500
```

Entry 3:
# TiFe3Se

A crystal of TiFe3Se relaxed with PBEsol (meta-GGA SCAN, Alexandria via LeMat-Bulk).

## Properties
Crystal system: cubic
Calculated total energy, eV per atom: -16.85
Energy above the most stable polymorph in this dataset, meV per atom: 664

Cell and atoms, written as CIF:
```
data_TiFe3Se
_symmetry_space_group_name_H-M 'P m -3 m'
_symmetry_Int_Tables_number 221
_symmetry_space_group_name_Hall '-P 4 2 3'
_cell_length_a 4.327
_cell_length_b 4.327
_cell_length_c 4.327
_cell_angle_alpha 90.00
_cell_angle_beta 90.00
_cell_angle_gamma 90.00
loop_
_atom_site_label
_atom_site_type_symbol
_atom_site_fract_x
_atom_site_fract_y
_atom_site_fract_z
Ti1 Ti 0.000 0.000 0.000
Fe1 Fe 0.000 0.000 0.500
Se1 Se 0.500 0.500 0.500
```

What is the formula in the third record? TiFe3Se

calculated total energy of number 2 (BeIF3)? -11.85 eV per atom

The lowest calculated total energy belongs to which entry? Tb2GaCo2